[1]
First-principles (GGA+U) data for an optimized crystal structure of Co5SbO12, as listed in Alexandria.

Unit cell a=5.0187 b=5.0226 c=10.1307 alpha=90.07 beta=90.14 gamma=60.02
Closest atoms and distances in Å follow each position.
Atoms (fractional coordinates):
Sb1 0.0000 0.0000 0.0000  6 O 2.02
Co1 0.1667 0.6666 0.5000  6 O 1.91
Co2 0.6666 0.6667 0.0000  6 O 1.91
Co3 0.3334 0.3333 0.0000  6 O 1.91
Co4 0.8333 0.3334 0.5000  6 O 1.91
Co5 0.5000 0.0000 0.5000  6 O 1.91
O1 0.0005 0.6495 0.0970  2 Co 1.91, 1 Sb 2.02
O2 0.3500 0.6495 0.9029  2 Co 1.91, 1 Sb 2.02
O3 0.1662 0.3332 0.4098  3 Co 1.91
O4 0.4994 0.6668 0.4098  3 Co 1.91
O5 0.5006 0.3332 0.5902  3 Co 1.91
O6 0.1669 0.0000 0.5904  3 Co 1.91
O7 0.8338 0.6668 0.5902  3 Co 1.91
O8 0.6500 0.3505 0.0971  2 Co 1.91, 1 Sb 2.02
O9 0.3511 0.0000 0.0972  2 Co 1.91, 1 Sb 2.02
O10 0.9995 0.3505 0.9030  2 Co 1.91, 1 Sb 2.02
O11 0.6489 0.0000 0.9028  2 Co 1.91, 1 Sb 2.02
O12 0.8331 0.0000 0.4096  3 Co 1.91

VASP energy, eV per cell: -103.609

=====

[2]
First-principles (GGA+U) data for an optimized crystal structure of CoSbO2, as listed in Alexandria.

Unit cell a=6.5352 b=6.5352 c=6.5352 alpha=26.82 beta=26.82 gamma=26.82
Closest atoms and distances in Å follow each position.
Atoms (fractional coordinates):
Sb1 0.0000 0.0000 0.0000  2 O 2.21
Co1 0.5000 0.5000 0.5000  6 O 1.99
O1 0.8831 0.8831 0.8831  3 Co 1.99, 1 Sb 2.21
O2 0.1169 0.1169 0.1169  3 Co 1.99, 1 Sb 2.21

VASP energy, eV per cell: -21.961

=====

[3]
First-principles (GGA+U) data for an optimized crystal structure of CoSbO3, as listed in Alexandria.

Unit cell a=4.9333 b=4.9332 c=7.6523 alpha=71.20 beta=71.20 gamma=60.00
Closest atoms and distances in Å follow each position.
Atoms (fractional coordinates):
Co1 0.3333 0.3333 0.0001  6 O 1.91-1.92
Co2 0.6667 0.6667 0.9999  6 O 1.91-1.92
Sb1 0.9061 0.9061 0.2817  3 O 2.00
Sb2 0.0939 0.0939 0.7183  3 O 2.00
O1 0.6896 0.4117 0.8477  2 Co 1.91-1.92, 1 Sb 2.00
O2 0.0509 0.6896 0.8477  2 Co 1.91-1.92, 1 Sb 2.00
O3 0.4117 0.0509 0.8477  2 Co 1.91-1.92, 1 Sb 2.00
O4 0.3104 0.5883 0.1523  2 Co 1.91-1.92, 1 Sb 2.00
O5 0.9491 0.3104 0.1523  2 Co 1.91-1.92, 1 Sb 2.00
O6 0.5883 0.9491 0.1523  2 Co 1.91-1.92, 1 Sb 2.00

VASP energy, eV per cell: -59.227

=====

[4]
First-principles (GGA+U) data for an optimized crystal structure of Co2SbO, as listed in Alexandria.

Unit cell a=4.8978 b=4.8978 c=6.6108 alpha=68.26 beta=68.26 gamma=90.00
Closest atoms and distances in Å follow each position.
Atoms (fractional coordinates):
Sb1 0.0000 0.0000 0.0000  4 Co 2.69
Sb2 0.7500 0.2500 0.5000  4 Co 2.69
Co1 0.4801 0.1250 0.2500  2 O 1.94
Co2 0.2699 0.6250 0.2500  2 O 1.94
Co3 0.3750 0.5199 0.7500  2 O 1.94
Co4 0.8750 0.7301 0.7500  2 O 1.94
O1 0.5000 0.5000 0.0000  4 Co 1.94
O2 0.2500 0.7500 0.5000  4 Co 1.94

ΔE to the lowest computed polymorph, eV/f.u.: 0.00

=====

[5]
First-principles (GGA+U) data for an optimized crystal structure of CoSbO4, as listed in Alexandria.

Unit cell a=5.4426 b=5.4426 c=5.4426 alpha=137.28 beta=137.28 gamma=62.00
Closest atoms and distances in Å follow each position.
Atoms (fractional coordinates):
Co1 0.0000 0.0000 0.0000  6 O 1.93-2.01
Sb1 0.7500 0.2500 0.5000  6 O 1.98-2.02
O1 0.5380 0.0380 0.5000  1 Sb 1.98, 2 Co 2.01
O2 0.2069 0.2069 0.0000  1 Co 1.93, 2 Sb 2.02
O3 0.9620 0.4620 0.5000  1 Sb 1.98, 2 Co 2.01
O4 0.7931 0.7931 0.0000  1 Co 1.93, 2 Sb 2.02

VASP energy, eV per cell: -35.731

=====

[6]
First-principles (GGA+U) data for an optimized crystal structure of Co7Sb2O12, as listed in Alexandria.

Unit cell a=6.1587 b=6.1587 c=13.5608 alpha=77.97 beta=77.97 gamma=90.31
Closest atoms and distances in Å follow each position.
Atoms (fractional coordinates):
Co1 0.2955 0.0177 0.9219  4 O 1.94-2.11
Co2 0.9823 0.7045 0.5781  4 O 1.94-2.11
Co3 0.0177 0.2955 0.4219  4 O 1.94-2.11
Co4 0.6408 0.3592 0.2500  4 O 2.00-2.01
Co5 0.6622 0.1812 0.6615  6 O 2.02-2.21
Co6 0.7045 0.9823 0.0781  4 O 1.94-2.11
Co7 0.3378 0.8188 0.3385  6 O 2.02-2.21
Co8 0.1812 0.6622 0.1615  6 O 2.02-2.21
Co9 0.5000 0.5000 0.0000  6 O 2.04-2.19
Co10 0.3592 0.6408 0.7500  4 O 2.00-2.01
Co11 0.0000 0.5000 0.0000  6 O 2.06-2.18
Co12 0.8188 0.3378 0.8385  6 O 2.02-2.21
Co13 0.5000 0.5000 0.5000  6 O 2.04-2.19
Co14 0.5000 0.0000 0.5000  6 O 2.06-2.18
Sb1 0.1792 0.1661 0.1641  6 O 1.99-2.10
Sb2 0.8208 0.8339 0.8359  6 O 1.99-2.10
Sb3 0.1661 0.1792 0.6641  6 O 1.99-2.10
Sb4 0.8339 0.8208 0.3359  6 O 1.99-2.10
O1 0.7174 0.2502 0.5059  4 Co 1.94-2.06
O2 0.0801 0.0654 0.3251  2 Sb 2.09-2.10, 2 Co 2.11-2.21
O3 0.3937 0.9230 0.1731  1 Sb 2.00, 3 Co 2.06-2.15
O4 0.7549 0.7565 0.4895  1 Sb 1.99, 3 Co 2.01-2.18
O5 0.0770 0.6063 0.3269  1 Sb 2.00, 3 Co 2.06-2.15
O6 0.2502 0.7174 0.0059  4 Co 1.94-2.06
O7 0.7565 0.7549 0.9895  1 Sb 1.99, 3 Co 2.01-2.18
O8 0.0467 0.6014 0.8357  1 Sb 2.00, 3 Co 2.01-2.14
O9 0.5982 0.6014 0.8315  1 Sb 2.00, 3 Co 2.00-2.19
O10 0.4018 0.3986 0.1685  1 Sb 2.00, 3 Co 2.00-2.19
O11 0.2435 0.2451 0.0105  1 Sb 1.99, 3 Co 2.01-2.18
O12 0.7498 0.2826 0.9941  4 Co 1.94-2.06
O13 0.9230 0.3937 0.6731  1 Sb 2.00, 3 Co 2.06-2.15
O14 0.3986 0.4018 0.6685  1 Sb 2.00, 3 Co 2.00-2.19
O15 0.2451 0.2435 0.5105  1 Sb 1.99, 3 Co 2.01-2.18
O16 0.6063 0.0770 0.8269  1 Sb 2.00, 3 Co 2.06-2.15
O17 0.0654 0.0801 0.8251  2 Sb 2.09-2.10, 2 Co 2.11-2.21
O18 0.9199 0.9346 0.6749  2 Sb 2.09-2.10, 2 Co 2.11-2.21
O19 0.3986 0.9533 0.6643  1 Sb 2.00, 3 Co 2.01-2.14
O20 0.6014 0.0467 0.3357  1 Sb 2.00, 3 Co 2.01-2.14
O21 0.9346 0.9199 0.1749  2 Sb 2.09-2.10, 2 Co 2.11-2.21
O22 0.2826 0.7498 0.4941  4 Co 1.94-2.06
O23 0.6014 0.5982 0.3315  1 Sb 2.00, 3 Co 2.00-2.19
O24 0.9533 0.3986 0.1643  1 Sb 2.00, 3 Co 2.01-2.14

ΔE to the lowest computed polymorph, eV/f.u.: 0.00